No. 1
Density functional theory data (GGA-PBE) for KPtS2 after structural relaxation.

```
data_KPtS2
_chemical_formula_sum 'K4 Pt4 S8'
_symmetry_space_group_name_H-M 'C m c m'
_symmetry_Int_Tables_number 63
_symmetry_space_group_name_Hall '-C 2c 2'
_cell_length_a 5.589
_cell_length_b 12.937
_cell_length_c 7.007
_cell_angle_alpha 90.00
_cell_angle_beta 90.00
_cell_angle_gamma 90.00
loop_
_atom_site_label
_atom_site_fract_x
_atom_site_fract_y
_atom_site_fract_z
K1 0.000 0.168 0.250
Pt1 0.000 0.500 0.250
S1 0.000 0.383 0.000
```

raw formation energy = -0.6666 eV per atom
total DFT energy (no corrections) = -4.5149 eV per atom
DOS at the Fermi energy = 12.753 states/eV per cell

---

No. 2
Density functional theory data (GGA-PBE) for KPt2S2 after structural relaxation.

```
data_KPt2S2
_chemical_formula_sum 'K2 Pt4 S4'
_symmetry_space_group_name_H-M 'I 4/m m m'
_symmetry_Int_Tables_number 139
_symmetry_space_group_name_Hall '-I 4 2'
_cell_length_a 4.729
_cell_length_b 4.729
_cell_length_c 11.109
_cell_angle_alpha 90.00
_cell_angle_beta 90.00
_cell_angle_gamma 90.00
loop_
_atom_site_label
_atom_site_fract_x
_atom_site_fract_y
_atom_site_fract_z
K1 0.000 0.000 0.000
Pt1 0.000 0.500 0.250
S1 0.000 0.000 0.296
```

raw formation energy = -0.3244 eV per atom
total DFT energy (no corrections) = -4.6112 eV per atom
energy relative to the lowest polymorph listed for this composition = 83.3 meV per atom
DOS at the Fermi energy = 3.907 states/eV per cell

---

No. 3
Density functional theory data (GGA-PBE) for K4PtS4 after structural relaxation.

```
data_K4PtS4
_chemical_formula_sum 'K8 Pt2 S8'
_symmetry_space_group_name_H-M 'I -4 2 m'
_symmetry_Int_Tables_number 121
_symmetry_space_group_name_Hall 'I -4 2'
_cell_length_a 6.878
_cell_length_b 6.878
_cell_length_c 14.505
_cell_angle_alpha 90.00
_cell_angle_beta 90.00
_cell_angle_gamma 90.00
loop_
_atom_site_label
_atom_site_fract_x
_atom_site_fract_y
_atom_site_fract_z
K1 0.000 0.000 0.203
K2 0.000 0.500 0.000
Pt1 0.000 0.000 0.500
S1 0.163 0.163 0.617
```

raw formation energy = -0.6754 eV per atom
total DFT energy (no corrections) = -3.6688 eV per atom

---

No. 4
Density functional theory data (GGA-PBE) for KPtS2 after structural relaxation.

```
data_KPtS2
_chemical_formula_sum 'K4 Pt4 S8'
_symmetry_space_group_name_H-M 'I 4/m c m'
_symmetry_Int_Tables_number 140
_symmetry_space_group_name_Hall '-I 4 2c'
_cell_length_a 7.725
_cell_length_b 7.725
_cell_length_c 6.386
_cell_angle_alpha 90.00
_cell_angle_beta 90.00
_cell_angle_gamma 90.00
loop_
_atom_site_label
_atom_site_fract_x
_atom_site_fract_y
_atom_site_fract_z
K1 0.000 0.000 0.250
Pt1 0.000 0.500 0.250
S1 0.157 0.343 0.000
```

raw formation energy = -0.4100 eV per atom
total DFT energy (no corrections) = -4.2583 eV per atom
DOS at the Fermi energy = 6.565 states/eV per cell